Record 1
K3Ce3ZrTe8: relaxed, PBE.

Cell: 9.024 9.024 9.904 Å, 117.10 90.01 120.00°
Fractional positions:
K (0.000, 0.000, 0.000)
K (0.000, 0.500, 0.000)
K (0.500, 0.500, 0.000)
Ce (0.500, 0.000, 0.500)
Ce (0.500, 0.500, 0.500)
Ce (0.000, 0.500, 0.500)
Zr (0.000, 0.000, 0.500)
Te (0.261, 0.522, 0.284)
Te (0.739, 0.478, 0.716)
Te (0.776, 0.552, 0.298)
Te (0.224, 0.448, 0.702)
Te (0.776, 0.022, 0.297)
Te (0.224, 0.978, 0.703)
Te (0.246, 0.022, 0.297)
Te (0.754, 0.978, 0.703)

symmetry = R-3m (166)
energy relative to the elements, uncorrected = -1.23 eV/atom


Record 2
LiZn2CBr: relaxed, PBE.

Cell: 5.382 5.382 4.569 Å, 90.00 90.00 90.00°
Fractional positions:
Zn (0.000, 0.500, 0.000)
Zn (0.500, 0.000, 0.000)
C (0.500, 0.500, 0.500)
Br (0.000, 0.000, 0.500)
Li (0.000, 0.000, 0.000)

symmetry = P4/mmm (123)
energy relative to the elements, uncorrected = 1.35 eV/atom


Record 3
Sm4Er4Tm5: relaxed, PBE.

Cell: 4.991 9.359 9.359 Å, 85.92 74.54 74.54°
Fractional positions:
Sm (0.922, 0.461, 0.695)
Sm (0.617, 0.305, 0.461)
Sm (0.078, 0.539, 0.305)
Sm (0.383, 0.695, 0.539)
Er (0.771, 0.382, 0.076)
Er (0.229, 0.618, 0.924)
Er (0.847, 0.924, 0.382)
Er (0.153, 0.076, 0.618)
Tm (0.690, 0.849, 0.771)
Tm (0.310, 0.151, 0.229)
Tm (0.000, 0.000, 0.000)
Tm (0.539, 0.771, 0.151)
Tm (0.461, 0.229, 0.849)

symmetry = I4/m (87)
formation energy from the elements = 0.023 eV/atom


Record 4
In2TeMo: relaxed, PBE.

Cell: 5.407 5.407 5.407 Å, 129.66 129.66 73.96°
Fractional positions:
In (0.000, 0.000, 0.000)
In (0.250, 0.750, 0.500)
Mo (0.500, 0.500, 0.000)
Te (0.750, 0.250, 0.500)

symmetry = I-4m2 (119)
energy relative to the elements, uncorrected = 0.54 eV/atom


Record 5
Pr3Ho2PuTe6: relaxed, PBE.

Cell: 4.404 8.984 9.991 Å, 103.96 102.73 90.00°
Fractional positions:
Pr (0.500, 0.500, 0.000)
Pr (0.835, 0.167, 0.671)
Pr (0.165, 0.833, 0.329)
Ho (0.837, 0.672, 0.673)
Ho (0.163, 0.328, 0.327)
Pu (0.500, 0.000, 0.000)
Te (0.334, 0.907, 0.668)
Te (0.672, 0.574, 0.343)
Te (0.666, 0.093, 0.332)
Te (0.003, 0.246, 0.006)
Te (0.997, 0.754, 0.994)
Te (0.328, 0.426, 0.657)

symmetry = C2/m (12)
energy relative to the elements, uncorrected = -1.34 eV/atom


Record 6
ZnSnRh2: relaxed, PBE.

Cell: 3.190 3.190 6.086 Å, 90.00 90.00 90.00°
Fractional positions:
Zn (0.500, 0.500, 0.000)
Rh (0.000, 0.000, 0.756)
Rh (0.000, 0.000, 0.244)
Sn (0.500, 0.500, 0.500)

symmetry = P4/mmm (123)
formation energy from the elements = -0.435 eV/atom


Record 7
UCoTc2As2: relaxed, PBE.

Cell: 4.099 6.105 7.720 Å, 90.00 90.00 90.00°
Fractional positions:
U (0.000, 0.994, 0.469)
U (0.000, 0.494, 0.531)
Co (0.500, 0.144, 0.715)
Co (0.500, 0.644, 0.285)
Tc (0.500, 0.013, 0.066)
Tc (0.000, 0.367, 0.163)
Tc (0.500, 0.513, 0.934)
Tc (0.000, 0.867, 0.837)
As (0.000, 0.266, 0.858)
As (0.500, 0.262, 0.324)
As (0.000, 0.766, 0.142)
As (0.500, 0.762, 0.676)

symmetry = Pmc2_1 (26)
formation energy from the elements = -0.177 eV/atom


Record 8
Pr2NdIr: relaxed, PBE.

Cell: 4.089 4.089 9.642 Å, 77.76 77.76 60.00°
Fractional positions:
Pr (0.057, 0.057, 0.829)
Pr (0.276, 0.276, 0.173)
Nd (0.501, 0.501, 0.497)
Ir (0.666, 0.666, 0.001)

energy above the most stable polymorph in this dataset = 0.1845 eV per atom
symmetry = R3m (160)
formation energy from the elements = -0.244 eV/atom


Record 9
EuTlTe2: relaxed, PBE.

Cell: 4.154 5.500 5.500 Å, 90.00 90.00 90.00°
Fractional positions:
Eu (0.500, 0.500, 0.500)
Tl (0.500, 0.000, 0.000)
Te (0.000, 0.000, 0.500)
Te (0.000, 0.500, 0.000)

symmetry = P4/mmm (123)
energy relative to the elements, uncorrected = -0.82 eV/atom


Record 10
CaRh6S8: relaxed, PBE.

Cell: 6.426 6.426 6.426 Å, 90.49 90.49 90.49°
Fractional positions:
Ca (0.000, 0.000, 0.000)
Rh (0.597, 0.430, 0.813)
Rh (0.430, 0.813, 0.597)
Rh (0.813, 0.597, 0.430)
Rh (0.403, 0.570, 0.187)
Rh (0.570, 0.187, 0.403)
Rh (0.187, 0.403, 0.570)
S (0.752, 0.752, 0.752)
S (0.248, 0.248, 0.248)
S (0.630, 0.859, 0.253)
S (0.859, 0.253, 0.630)
S (0.253, 0.630, 0.859)
S (0.370, 0.141, 0.747)
S (0.141, 0.747, 0.370)
S (0.747, 0.370, 0.141)

symmetry = R-3 (148)
energy relative to the elements, uncorrected = -0.57 eV/atom


Record 11
Pm2Ga4Ru5: relaxed, PBE.

Cell: 5.659 5.502 8.172 Å, 79.74 69.74 59.05°
Fractional positions:
Pm (0.874, 0.000, 0.253)
Pm (0.126, 0.000, 0.747)
Ga (0.470, 0.321, 0.739)
Ga (0.530, 0.679, 0.261)
Ga (0.209, 0.321, 0.261)
Ga (0.791, 0.679, 0.739)
Ru (0.500, 0.000, 0.000)
Ru (0.000, 0.500, 0.000)
Ru (0.500, 0.500, 0.000)
Ru (0.250, 0.500, 0.500)
Ru (0.750, 0.500, 0.500)

symmetry = Fmmm (69)
formation energy from the elements = -0.290 eV/atom


Record 12
TbDy4Sc2: relaxed, PBE.

Cell: 5.434 6.776 11.621 Å, 90.00 103.53 90.00°
Fractional positions:
Tb (0.072, 0.750, 0.143)
Tb (0.928, 0.250, 0.857)
Dy (0.646, 0.499, 0.292)
Dy (0.924, 0.750, 0.847)
Dy (0.076, 0.250, 0.153)
Dy (0.646, 0.001, 0.292)
Dy (0.785, 0.250, 0.569)
Dy (0.354, 0.999, 0.708)
Dy (0.354, 0.501, 0.708)
Dy (0.215, 0.750, 0.431)
Sc (0.499, 0.750, 0.996)
Sc (0.501, 0.250, 0.004)
Sc (0.214, 0.250, 0.429)
Sc (0.786, 0.750, 0.571)

energy above the most stable polymorph in this dataset = 0.0000 eV per atom
symmetry = P2_1/m (11)
formation energy from the elements = 0.144 eV/atom


Record 13
KRbH3: relaxed, PBE.

Cell: 5.130 5.130 5.130 Å, 90.00 90.00 90.00°
Fractional positions:
H (0.000, 0.500, 0.000)
H (0.000, 0.000, 0.500)
H (0.500, 0.000, 0.000)
K (0.500, 0.500, 0.500)
Rb (0.000, 0.000, 0.000)

energy above the most stable polymorph in this dataset = 0.0925 eV per atom
symmetry = Pm-3m (221)


Record 14
K2Ga2Hg: relaxed, PBE.

Cell: 7.322 7.322 5.716 Å, 90.00 90.00 90.00°
Fractional positions:
K (0.185, 0.685, 0.500)
K (0.685, 0.815, 0.500)
K (0.815, 0.315, 0.500)
K (0.315, 0.185, 0.500)
Hg (0.000, 0.000, 0.000)
Hg (0.500, 0.500, 0.000)
Ga (0.377, 0.877, 0.000)
Ga (0.877, 0.623, 0.000)
Ga (0.623, 0.123, 0.000)
Ga (0.123, 0.377, 0.000)

energy above the most stable polymorph in this dataset = 0.0093 eV per atom
symmetry = P4/mbm (127)
formation energy from the elements = -0.040 eV/atom


Record 15
Tb2MgTc: relaxed, PBE.

Cell: 3.482 3.482 8.113 Å, 90.00 90.00 90.00°
Fractional positions:
Mg (0.500, 0.500, 0.500)
Tb (0.000, 0.000, 0.798)
Tb (0.000, 0.000, 0.202)
Tc (0.500, 0.500, 0.000)

symmetry = P4/mmm (123)
formation energy from the elements = -0.062 eV/atom


Record 16
TbGa2Hg: relaxed, PBE.

Cell: 4.448 4.448 5.732 Å, 67.17 67.17 60.00°
Fractional positions:
Tb (0.000, 0.000, 0.000)
Hg (0.500, 0.500, 0.500)
Ga (0.770, 0.770, 0.690)
Ga (0.230, 0.230, 0.310)

energy above the most stable polymorph in this dataset = 0.1078 eV per atom
symmetry = R-3m (166)
formation energy from the elements = -0.327 eV/atom


Record 17
MgAgRh: relaxed, PBE.

Cell: 5.270 5.270 5.270 Å, 144.45 144.45 51.15°
Fractional positions:
Ag (0.000, 0.000, 0.000)
Mg (0.323, 0.323, 0.000)
Rh (0.677, 0.677, 0.000)

energy above the most stable polymorph in this dataset = 0.0541 eV per atom
symmetry = I4mm (107)
formation energy from the elements = -0.160 eV/atom


Record 18
Ac2MnGe: relaxed, PBE.

Cell: 4.099 5.353 5.353 Å, 90.00 90.00 90.00°
Fractional positions:
Ac (0.000, 0.000, 0.500)
Ac (0.000, 0.500, 0.000)
Mn (0.500, 0.000, 0.000)
Ge (0.500, 0.500, 0.500)

symmetry = P4/mmm (123)
formation energy from the elements = -0.075 eV/atom


Record 19
Li2SnGe2: relaxed, PBE.

Cell: 4.138 4.138 6.493 Å, 71.42 71.42 90.00°
Fractional positions:
Ge (0.396, 0.396, 0.207)
Ge (0.604, 0.604, 0.793)
Sn (0.000, 0.000, 0.000)
Li (0.750, 0.250, 0.500)
Li (0.250, 0.750, 0.500)

energy above the most stable polymorph in this dataset = 0.0776 eV per atom
symmetry = I4/mmm (139)
formation energy from the elements = -0.106 eV/atom


Record 20
LiZrNi2: relaxed, PBE.

Cell: 6.659 6.659 5.398 Å, 51.92 51.92 90.00°
Fractional positions:
Ni (0.604, 0.125, 0.250)
Ni (0.146, 0.625, 0.250)
Ni (0.375, 0.396, 0.750)
Ni (0.875, 0.854, 0.750)
Zr (0.000, 0.000, 0.000)
Zr (0.750, 0.250, 0.500)
Li (0.500, 0.500, 0.000)
Li (0.250, 0.750, 0.500)

symmetry = I-42d (122)
formation energy from the elements = 0.089 eV/atom


Record 21
Cs2LiF4: relaxed, PBE.

Cell: 4.308 4.308 7.981 Å, 74.34 74.34 90.00°
Fractional positions:
Cs (0.359, 0.359, 0.282)
Cs (0.641, 0.641, 0.718)
Li (0.000, 0.000, 0.000)
F (0.144, 0.144, 0.713)
F (0.856, 0.856, 0.287)
F (0.000, 0.500, 0.000)
F (0.500, 0.000, 0.000)

symmetry = I4/mmm (139)
energy relative to the elements, uncorrected = -2.36 eV/atom


Record 22
Er5ZnPd4: relaxed, PBE.

Cell: 3.493 3.493 17.386 Å, 90.00 90.00 90.00°
Fractional positions:
Er (0.500, 0.500, 0.102)
Er (0.500, 0.500, 0.301)
Er (0.500, 0.500, 0.500)
Er (0.500, 0.500, 0.699)
Er (0.500, 0.500, 0.898)
Zn (0.000, 0.000, 0.000)
Pd (0.000, 0.000, 0.200)
Pd (0.000, 0.000, 0.400)
Pd (0.000, 0.000, 0.600)
Pd (0.000, 0.000, 0.800)

symmetry = P4/mmm (123)
formation energy from the elements = -0.806 eV/atom


Record 23
In2FeTe: relaxed, PBE.

Cell: 3.213 3.212 8.774 Å, 90.00 90.00 90.00°
Fractional positions:
Fe (0.500, 0.500, 0.738)
In (0.000, 0.000, 0.947)
In (0.500, 0.500, 0.231)
Te (0.000, 0.000, 0.585)

symmetry = P4mm (99)
energy relative to the elements, uncorrected = 0.16 eV/atom


Record 24
HoMgIr2: relaxed, PBE.

Cell: 3.342 4.586 4.586 Å, 90.00 90.00 90.00°
Fractional positions:
Mg (0.500, 0.500, 0.500)
Ir (0.000, 0.000, 0.500)
Ir (0.000, 0.500, 0.000)
Ho (0.500, 0.000, 0.000)

symmetry = P4/mmm (123)
formation energy from the elements = -0.577 eV/atom


Record 25
NdMgAgGe: relaxed, PBE.

Cell: 5.016 5.016 5.016 Å, 60.00 60.00 60.00°
Fractional positions:
Ge (0.250, 0.250, 0.250)
Nd (0.000, 0.000, 0.000)
Mg (0.500, 0.500, 0.500)
Ag (0.750, 0.750, 0.750)

symmetry = F-43m (216)
formation energy from the elements = -0.408 eV/atom